KZn2InCl6 (PBE-GGA, optimized geometry); electronic total energy = -30.0 eV per formula unit; E_form (uncorrected) = -1.255 eV per atom
1.0
6.8954 -6.7486 0.0000
6.8954 6.7486 0.0000
-1.1112 0.0000 6.8451
K Zn In Cl
2 4 2 12
Direct
0.1940 0.8060 0.7500
0.8060 0.1940 0.2500
0.1247 0.2980 0.7722
0.2980 0.1247 0.2722
0.7020 0.8753 0.7278
0.8753 0.7020 0.2278
0.3990 0.6010 0.2500
0.6010 0.3990 0.7500
0.0917 0.6415 0.3453
0.1053 0.1989 0.0655
0.1989 0.1053 0.5655
0.2793 0.4736 0.8184
0.3585 0.9083 0.1547
0.4736 0.2793 0.3184
0.5264 0.7207 0.6816
0.6415 0.0917 0.8453
0.7207 0.5264 0.1816
0.8011 0.8947 0.4345
0.8947 0.8011 0.9345
0.9083 0.3585 0.6547